1.
DFT (GGA-PBE) results for an optimized crystal structure of Ni2TeMo.

uncorrected energy = -6.12 eV per atom
symmetry = Pmm2
total moment = 0.00 Bohr magnetons per cell
ρ = 9.6 g cm⁻³

extended XYZ file:
```
4
Lattice="3.599 0.000 0.000 0.000 3.986 0.000 0.000 0.000 4.118" Properties=species:S:1:pos:R:3 pbc="T T T"
Ni 0.000 0.000 0.000
Ni 0.000 1.993 1.579
Te 1.800 1.993 3.813
Mo 1.800 0.000 1.937
```

2.
DFT (GGA-PBE) results for an optimized crystal structure of K2CaAg2Cl6.

uncorrected energy = -3.42 eV per atom
symmetry = C2/m
total moment = 0.00 Bohr magnetons per cell
ρ = 2.7 g cm⁻³

extended XYZ file:
```
11
Lattice="6.666 -3.813 0.000 6.666 3.813 0.000 -3.657 0.000 6.569" Properties=species:S:1:pos:R:3 pbc="T T T"
K 2.490 0.000 1.138
K 7.184 0.000 5.431
Ca -1.829 0.000 3.284
Ag 2.982 0.000 5.081
Ag 6.693 0.000 1.488
Cl 5.055 1.943 1.258
Cl 0.867 0.000 3.792
Cl 4.620 1.943 5.311
Cl 5.055 -1.943 1.258
Cl 8.808 0.000 2.777
Cl 4.620 -1.943 5.311
```

3.
DFT (GGA-PBE) results for an optimized crystal structure of Y2HfZn2.

symmetry = P4/mbm
DFT formation energy = -49 kJ/mol of formula units
total moment = 1.66 Bohr magnetons per cell
ρ = 7.0 g cm⁻³

extended XYZ file:
```
10
Lattice="7.969 0.000 0.000 0.000 7.969 0.000 0.000 0.000 3.662" Properties=species:S:1:pos:R:3 pbc="T T T"
Y 1.372 2.613 0.000
Y 2.613 6.598 0.000
Y 5.357 1.372 0.000
Y 6.598 5.357 0.000
Hf 0.000 0.000 1.831
Hf 3.985 3.985 1.831
Zn 1.012 4.997 1.831
Zn 2.973 1.012 1.831
Zn 4.997 6.957 1.831
Zn 6.957 2.973 1.831
```

4.
DFT (GGA-PBE) results for an optimized crystal structure of BaNbSiF2.

uncorrected energy = -5.68 eV per atom
symmetry = P4/mmm
total moment = 0.95 Bohr magnetons per cell
ρ = 4.7 g cm⁻³

extended XYZ file:
```
5
Lattice="4.523 0.000 0.000 0.000 4.523 0.000 0.000 0.000 5.097" Properties=species:S:1:pos:R:3 pbc="T T T"
Ba 0.000 0.000 0.000
Nb 2.262 2.262 2.549
Si 2.262 2.262 0.000
F 0.000 2.262 2.549
F 2.262 0.000 2.549
```

5.
DFT (GGA-PBE) results for an optimized crystal structure of MgBeHg.

symmetry = P-1
DFT formation energy = 36 kJ/mol of formula units
total moment = 0.00 Bohr magnetons per cell
ρ = 7.1 g cm⁻³
offset from the most stable computed form = 13.2 meV per atom

extended XYZ file:
```
6
Lattice="4.267 0.000 0.000 -1.060 5.129 0.000 -1.102 -1.116 5.016" Properties=species:S:1:pos:R:3 pbc="T T T"
Mg -0.529 1.365 0.967
Mg 2.634 2.648 4.049
Be -0.553 4.203 2.058
Be 2.658 -0.190 2.958
Hg 0.530 0.553 3.902
Hg 1.575 3.460 1.114
```

6.
DFT (GGA-PBE) results for an optimized crystal structure of Ho2Tm2C3.

symmetry = C2/m
DFT formation energy = -40 kJ/mol of formula units
total moment = 0.00 Bohr magnetons per cell
ρ = 9.1 g cm⁻³

extended XYZ file:
```
14
Lattice="14.090 0.000 0.000 0.000 3.586 0.000 -0.527 0.000 5.079" Properties=species:S:1:pos:R:3 pbc="T T T"
Ho 0.951 0.000 1.356
Ho 5.566 1.793 3.724
Ho 7.996 1.793 1.356
Ho 12.611 0.000 3.724
Tm 2.277 1.793 3.776
Tm 4.240 0.000 1.304
Tm 9.322 0.000 3.776
Tm 11.285 1.793 1.304
C -0.264 1.793 2.540
C 2.679 1.793 1.204
C 3.839 0.000 3.876
C 6.781 0.000 2.540
C 9.724 0.000 1.204
C 10.883 1.793 3.876
```

7.
DFT (GGA-PBE) results for an optimized crystal structure of Na2NpTeSe4.

uncorrected energy = -4.90 eV per atom
symmetry = P2/m
total moment = 3.00 Bohr magnetons per cell
ρ = 5.2 g cm⁻³

extended XYZ file:
```
8
Lattice="7.585 0.000 0.000 0.000 4.070 0.000 -2.490 0.000 7.487" Properties=species:S:1:pos:R:3 pbc="T T T"
Na 0.000 0.000 0.000
Na 2.548 2.035 3.743
Np -1.245 0.000 3.743
Te 3.793 2.035 0.000
Se -0.049 2.035 2.229
Se 0.998 0.000 5.525
Se 4.097 0.000 1.962
Se 5.145 2.035 5.258
```

8.
DFT (GGA-PBE) results for an optimized crystal structure of Mg2ZrSnRu.

symmetry = P4/mmm
DFT formation energy = 453 kJ/mol of formula units
total moment = 0.01 Bohr magnetons per cell
ρ = 4.7 g cm⁻³

extended XYZ file:
```
5
Lattice="4.975 0.000 0.000 0.000 4.975 0.000 0.000 0.000 5.089" Properties=species:S:1:pos:R:3 pbc="T T T"
Mg 0.000 2.487 0.000
Mg 2.487 0.000 0.000
Zr 0.000 0.000 2.544
Sn 2.487 2.487 0.000
Ru 2.487 2.487 2.544
```

9.
DFT (GGA-PBE) results for an optimized crystal structure of EuDyBiPb.

symmetry = F-43m
DFT formation energy = -195 kJ/mol of formula units
total moment = 27.77 Bohr magnetons per cell
ρ = 9.8 g cm⁻³

extended XYZ file:
```
16
Lattice="7.900 0.000 0.000 0.000 7.900 0.000 0.000 0.000 7.900" Properties=species:S:1:pos:R:3 pbc="T T T"
Eu 0.000 0.000 0.000
Eu 0.000 3.950 3.950
Eu 3.950 0.000 3.950
Eu 3.950 3.950 0.000
Dy 0.000 0.000 3.950
Dy 0.000 3.950 0.000
Dy 3.950 0.000 0.000
Dy 3.950 3.950 3.950
Bi 1.975 1.975 5.925
Bi 1.975 5.925 1.975
Bi 5.925 1.975 1.975
Bi 5.925 5.925 5.925
Pb 1.975 1.975 1.975
Pb 1.975 5.925 5.925
Pb 5.925 1.975 5.925
Pb 5.925 5.925 1.975
```

10.
DFT (GGA-PBE) results for an optimized crystal structure of Ce3Ag4Au2.

symmetry = C2/m
DFT formation energy = -305 kJ/mol of formula units
total moment = 3.21 Bohr magnetons per cell
ρ = 10.2 g cm⁻³

extended XYZ file:
```
9
Lattice="5.349 -2.446 0.000 5.349 2.446 0.000 -4.787 0.000 7.720" Properties=species:S:1:pos:R:3 pbc="T T T"
Ce 0.000 0.000 0.000
Ce 1.878 0.000 2.628
Ce 4.034 0.000 5.092
Ag -1.347 0.000 2.938
Ag -1.555 0.000 7.301
Ag 7.467 0.000 0.419
Ag 7.259 0.000 4.782
Au 0.748 0.000 5.620
Au 5.164 0.000 2.100
```

11.
DFT (GGA-PBE) results for an optimized crystal structure of MnAg2Pd3.

symmetry = Cmmm
DFT formation energy = -68 kJ/mol of formula units
total moment = 9.30 Bohr magnetons per cell
ρ = 10.2 g cm⁻³

extended XYZ file:
```
12
Lattice="2.065 -6.179 0.000 2.065 6.179 0.000 0.000 0.000 7.552" Properties=species:S:1:pos:R:3 pbc="T T T"
Mn 2.065 4.181 0.000
Mn 2.065 -4.181 0.000
Ag 2.065 4.106 3.776
Ag 2.065 0.000 0.000
Ag 2.065 0.000 3.776
Ag 2.065 -4.106 3.776
Pd 0.000 0.000 1.840
Pd 0.000 0.000 5.713
Pd 2.065 2.111 1.750
Pd 2.065 2.111 5.802
Pd 2.065 -2.111 1.750
Pd 2.065 -2.111 5.802
```

12.
DFT (GGA-PBE) results for an optimized crystal structure of LaNd7Sm3.

symmetry = P3m1
DFT formation energy = 186 kJ/mol of formula units
total moment = 0.00 Bohr magnetons per cell
ρ = 6.6 g cm⁻³
offset from the most stable computed form = 0.0 meV per atom

extended XYZ file:
```
11
Lattice="7.289 0.000 0.000 -3.644 6.312 0.000 0.000 0.000 8.799" Properties=species:S:1:pos:R:3 pbc="T T T"
La 0.000 0.000 0.000
Nd -1.820 3.158 8.698
Nd 1.821 1.051 2.916
Nd 0.000 4.208 2.813
Nd 0.000 6.309 8.698
Nd 1.820 3.158 8.698
Nd 5.468 1.051 2.916
Nd 3.644 4.210 2.916
Sm 0.000 2.106 5.800
Sm -1.820 5.259 5.800
Sm 1.820 5.259 5.800
```

13.
DFT (GGA-PBE) results for an optimized crystal structure of Tl2NiRuS.

uncorrected energy = -4.05 eV per atom
symmetry = P4/mmm
total moment = 2.60 Bohr magnetons per cell
ρ = 8.7 g cm⁻³

extended XYZ file:
```
5
Lattice="5.291 0.000 0.000 0.000 5.291 0.000 0.000 0.000 4.080" Properties=species:S:1:pos:R:3 pbc="T T T"
Tl 0.000 2.646 0.000
Tl 2.646 0.000 0.000
Ni 0.000 0.000 0.000
Ru 2.646 2.646 2.040
S 0.000 0.000 2.040
```